[1]
Below is a relaxed LiTm2Hg7 crystal, with properties calculated at the PBE level.

Cell: 4.975 4.975 11.857 Å, 90.00 90.00 120.00°
Positions (direct):
Li (0.000, 0.000, 0.837)
Tm (0.667, 0.333, 0.446)
Tm (0.333, 0.667, 0.647)
Hg (0.333, 0.667, 0.386)
Hg (0.333, 0.667, 0.140)
Hg (0.000, 0.000, 0.279)
Hg (0.000, 0.000, 0.565)
Hg (0.667, 0.333, 0.753)
Hg (0.667, 0.333, 0.033)
Hg (0.333, 0.667, 0.897)

As for the symmetry: P3m1 (156). The calculated volume comes out at 254.2 Å³/cell. The calculation puts the formation energy at -0.21 eV per atom.

=====

[2]
Below is a relaxed Nd3ThAg4 crystal, with properties calculated at the PBE level.

Cell: 3.659 5.370 10.748 Å, 90.00 90.00 90.00°
Each line ends with the local moment (μB).
Positions (direct):
Nd (0.500, 0.000, 0.250)  0.06
Nd (0.500, 0.500, 0.500)  0.02
Nd (0.500, 0.000, 0.750)  0.06
Ag (0.000, 0.000, 0.500)  0.00
Ag (0.000, 0.500, 0.750)  0.01
Ag (0.000, 0.000, 0.000)  0.01
Ag (0.000, 0.500, 0.250)  0.01
Th (0.500, 0.500, 0.000)  0.10

As for the symmetry: Pmmm (47). The calculated volume comes out at 211.2 Å³/cell. The calculation puts the formation energy at -0.19 eV per atom.

=====

[3]
Below is a relaxed Hf2CoAs crystal, with properties calculated at the PBE level.

Cell: 3.027 3.027 9.559 Å, 80.89 80.89 60.00°
Each line ends with the local moment (μB).
Positions (direct):
Co (0.000, 0.000, 0.000)  0.96
As (0.500, 0.500, 0.500)  0.01
Hf (0.085, 0.085, 0.745)  -0.05
Hf (0.915, 0.915, 0.255)  -0.05

As for the symmetry: R-3m (166). The calculated volume comes out at 74.6 Å³/cell. The calculation puts the formation energy at 0.28 eV per atom.

=====

[4]
Below is a relaxed SrLa3Sb3 crystal, with properties calculated at the PBE level.

Cell: 9.778 9.778 9.778 Å, 90.00 90.00 90.00°
Each line ends with the local moment (μB).
Positions (direct):
Sr (0.070, 0.570, 0.930)  0.01
Sr (0.930, 0.070, 0.570)  0.01
Sr (0.430, 0.430, 0.430)  0.01
Sr (0.570, 0.930, 0.070)  0.01
La (0.821, 0.321, 0.179)  0.06
La (0.928, 0.928, 0.928)  0.05
La (0.820, 0.680, 0.320)  0.06
La (0.179, 0.821, 0.321)  0.06
La (0.180, 0.180, 0.180)  0.06
La (0.320, 0.820, 0.680)  0.06
La (0.072, 0.428, 0.572)  0.05
La (0.321, 0.179, 0.821)  0.06
La (0.680, 0.320, 0.820)  0.06
La (0.679, 0.679, 0.679)  0.06
La (0.572, 0.072, 0.428)  0.05
La (0.428, 0.572, 0.072)  0.05
Sb (0.746, 0.622, 0.000)  0.00
Sb (0.878, 0.000, 0.246)  0.00
Sb (0.000, 0.746, 0.622)  0.00
Sb (0.122, 0.500, 0.254)  0.00
Sb (0.254, 0.122, 0.500)  0.00
Sb (0.246, 0.878, 0.000)  0.00
Sb (0.000, 0.246, 0.878)  0.00
Sb (0.378, 0.500, 0.754)  0.00
Sb (0.500, 0.254, 0.122)  0.00
Sb (0.622, 0.000, 0.746)  0.00
Sb (0.754, 0.378, 0.500)  0.00
Sb (0.500, 0.754, 0.378)  0.00

As for the symmetry: P2_13 (198). The calculated volume comes out at 934.9 Å³/cell. For the uncorrected formation energy, the calculation gives -743 kJ/mol of formula units.

=====

[5]
Below is a relaxed CePr4S6 crystal, with properties calculated at the PBE level.

Cell: 4.021 7.055 20.486 Å, 90.00 90.00 106.56°
Each line ends with the local moment (μB).
Positions (direct):
Ce (0.655, 0.310, 0.250)  0.92
Ce (0.345, 0.690, 0.750)  0.92
Pr (0.860, 0.721, 0.542)  0.00
Pr (0.410, 0.819, 0.130)  0.01
Pr (0.140, 0.279, 0.458)  0.00
Pr (0.590, 0.181, 0.870)  0.01
Pr (0.860, 0.721, 0.958)  0.00
Pr (0.140, 0.279, 0.042)  0.00
Pr (0.590, 0.181, 0.630)  0.01
Pr (0.410, 0.819, 0.370)  0.01
S (0.500, 0.000, 0.000)  0.00
S (0.500, 0.000, 0.500)  0.00
S (0.051, 0.102, 0.330)  -0.01
S (0.949, 0.898, 0.670)  -0.01
S (0.949, 0.898, 0.830)  -0.01
S (0.051, 0.102, 0.170)  -0.01
S (0.770, 0.540, 0.409)  0.00
S (0.230, 0.460, 0.591)  0.00
S (0.230, 0.460, 0.909)  0.00
S (0.770, 0.540, 0.091)  0.00
S (0.303, 0.606, 0.250)  -0.01
S (0.697, 0.394, 0.750)  -0.01

As for the symmetry: Cmcm (63). The calculated volume comes out at 557.1 Å³/cell. For the uncorrected formation energy, the calculation gives -2134 kJ/mol of formula units.

=====

[6]
Below is a relaxed MgPtN2 crystal, with properties calculated at the PBE level.

Cell: 6.375 6.375 6.375 Å, 28.65 28.65 28.65°
Positions (direct):
Mg (0.500, 0.500, 0.500)
Pt (0.000, 0.000, 0.000)
N (0.900, 0.900, 0.900)
N (0.100, 0.100, 0.100)

As for the symmetry: R-3m (166). The calculated volume comes out at 52.7 Å³/cell. For the uncorrected formation energy, the calculation gives 191 kJ/mol of formula units.

=====

[7]
Below is a relaxed LiLa4Cd crystal, with properties calculated at the PBE level.

Cell: 5.515 6.438 6.438 Å, 88.24 90.00 90.00°
Positions (direct):
Li (0.500, 0.000, 0.000)
La (0.500, 0.329, 0.671)
La (0.000, 0.839, 0.839)
La (0.000, 0.161, 0.161)
La (0.500, 0.671, 0.329)
Cd (0.000, 0.500, 0.500)

As for the symmetry: Cmmm (65). The calculated volume comes out at 228.5 Å³/cell. For the excess energy over the best structure of this formula in the dataset, the calculation gives 0.0491 eV/atom. The calculation puts the formation energy at 0.34 eV per atom.

=====

[8]
Below is a relaxed ReWSe crystal, with properties calculated at the PBE level.

Cell: 4.620 4.620 4.620 Å, 141.92 126.74 67.34°
Positions (direct):
Re (0.004, 0.004, 0.000)
Se (0.333, 0.333, 0.000)
W (0.663, 0.663, 0.000)

As for the symmetry: Imm2 (44). The calculated volume comes out at 48.0 Å³/cell. For the uncorrected formation energy, the calculation gives 168 kJ/mol of formula units. For the excess energy over the best structure of this formula in the dataset, the calculation gives 0.2568 eV/atom.

=====

[9]
Below is a relaxed BaCuHgF2 crystal, with properties calculated at the PBE level.

Cell: 5.032 4.831 5.032 Å, 90.00 90.00 90.00°
Positions (direct):
F (0.000, 0.000, 0.500)
F (0.500, 0.000, 0.000)
Hg (0.000, 0.000, 0.000)
Cu (0.000, 0.500, 0.000)
Ba (0.500, 0.500, 0.500)

As for the symmetry: P4/mmm (123). The calculated volume comes out at 122.3 Å³/cell. For the uncorrected formation energy, the calculation gives -619 kJ/mol of formula units.

=====

[10]
Below is a relaxed Ge3AsRu crystal, with properties calculated at the PBE level.

Cell: 4.926 4.926 4.926 Å, 90.00 90.00 90.00°
Positions (direct):
Ru (0.000, 0.000, 0.000)
As (0.500, 0.500, 0.500)
Ge (0.000, 0.500, 0.000)
Ge (0.000, 0.000, 0.500)
Ge (0.500, 0.000, 0.000)

As for the symmetry: Pm-3m (221). The calculated volume comes out at 119.5 Å³/cell. For the excess energy over the best structure of this formula in the dataset, the calculation gives 0.0000 eV/atom. The calculation puts the formation energy at 0.35 eV per atom.

=====

[11]
Below is a relaxed K12ClO5 crystal, with properties calculated at the PBE level.

Cell: 7.258 7.279 13.820 Å, 89.99 89.98 60.10°
Positions (direct):
K (0.834, 0.000, 0.417)
K (0.166, 0.000, 0.583)
K (0.618, 0.000, 0.900)
K (0.382, 0.000, 0.100)
K (0.381, 0.619, 0.901)
K (0.000, 0.619, 0.099)
K (0.000, 0.381, 0.901)
K (0.619, 0.381, 0.099)
K (0.500, 0.333, 0.582)
K (0.833, 0.667, 0.582)
K (0.167, 0.333, 0.418)
K (0.500, 0.667, 0.418)
Cl (0.000, 0.000, 0.000)
O (0.500, 0.000, 0.500)
O (0.167, 0.667, 0.500)
O (0.833, 0.333, 0.500)
O (0.667, 0.667, 0.000)
O (0.333, 0.333, 0.000)

As for the symmetry: C2/m (12). The calculated volume comes out at 633.0 Å³/cell. For the uncorrected formation energy, the calculation gives -1788 kJ/mol of formula units.

=====

[12]
Below is a relaxed BaTbTc2O8 crystal, with properties calculated at the PBE level.

Cell: 5.934 5.934 7.622 Å, 90.00 90.00 120.00°
Each line ends with the local moment (μB).
Positions (direct):
Ba (0.000, 0.000, 0.000)  0.01
Tb (0.000, 0.000, 0.500)  0.08
Tc (0.667, 0.333, 0.228)  0.98
Tc (0.333, 0.667, 0.772)  0.98
O (0.333, 0.667, 0.006)  0.12
O (0.329, 0.165, 0.303)  0.07
O (0.835, 0.164, 0.303)  0.07
O (0.667, 0.333, 0.994)  0.12
O (0.165, 0.836, 0.697)  0.07
O (0.671, 0.835, 0.697)  0.07
O (0.164, 0.329, 0.697)  0.07
O (0.836, 0.671, 0.303)  0.07

As for the symmetry: P-3m1 (164). The calculated volume comes out at 232.4 Å³/cell. For the uncorrected formation energy, the calculation gives -2398 kJ/mol of formula units.